Entry from Alexandria: Li2AgF4 at its PBEsol-relaxed geometry (meta-GGA SCAN).

Output
**Magnetization**: 2.0 μB per cell
**Excess energy over the best structure of this formula in the dataset**: 0 meV per atom
**ΔE_f (raw)**: -2322 meV per atom

a b c (Å): 4.991 5.799 6.245
angles (deg): 117.66 104.54 90.00
Fractional positions:
F: 0.664 0.983 0.213
Ag: 0.000 0.000 0.500
Li: 0.250 0.873 0.000
F: 0.164 0.230 0.213
F: 0.358 0.525 0.796
Li: 0.250 0.382 0.000
F: 0.142 0.729 0.204
Ag: 0.500 0.500 0.500
F: 0.336 0.017 0.787
F: 0.836 0.770 0.787
Li: 0.750 0.127 0.000
F: 0.642 0.475 0.204
F: 0.858 0.271 0.796
Li: 0.750 0.618 0.000

***

Entry from Alexandria: TaZn2Co at its PBEsol-relaxed geometry (meta-GGA SCAN).

Output
**Magnetization**: 1.4 μB per cell
**Excess energy over the best structure of this formula in the dataset**: 224 meV per atom
**Formation enthalpy at 0 K**: 0.68 eV/f.u.

a b c (Å): 3.705 3.705 4.754
angles (deg): 112.93 112.93 90.00
Fractional positions:
Zn: 0.750 0.250 0.500
Co: 0.500 0.500 0.000
Zn: 0.250 0.750 0.500
Ta: 0.000 0.000 0.000